! Be2TcP (meta-GGA SCAN, single point on PBEsol structure); values from VASP
&SYSTEM
  ibrav = 0, nat = 4, ntyp = 3
/
ATOMIC_SPECIES
P 30.97 P.upf
Tc 98.00 Tc.upf
Be 9.01 Be.upf
CELL_PARAMETERS angstrom
-2.271 -2.037 -1.426
1.042 -2.533 1.958
-1.896 3.263 2.335
ATOMIC_POSITIONS crystal
P 0.500 0.500 0.000
Tc 0.000 0.000 0.000
Be 0.750 0.250 0.500
Be 0.250 0.750 0.500
! * space group: I4/mmm (139)
! * DFT total energy: -13.72 eV per atom
! * density of states at the Fermi level: 0.257 states/eV per atom